## La4SmTl (PBE)

Data for a relaxed structure of La4SmTl.

Cell lengths 6.292, 7.094, 8.919 Å; angles 90.00, 91.03, 90.00 degrees
Space group P2_1/m (No. 11)
Unique sites:
La: 0.000 0.000 0.000 [2 per cell]
La: 0.342 0.007 0.340 [4 per cell]
La: 0.478 0.750 0.983 [2 per cell]
Sm: 0.160 0.250 0.669 [2 per cell]
Tl: 0.155 0.750 0.654 [2 per cell]

Summary:
Energy of formation from the pure elements (eV/atom): -0.124
Relative energy among the computed polymorphs (meV/atom): 0
V (Å³/cell): 398
ρ (g/cm³): 7.6
Raw total energy (eV/atom): -4.589